Entry 1:
# Tb2NdRh9, relaxed, DFT PBE
data_Tb2NdRh9
_cell_length_a 5.292
_cell_length_b 5.292
_cell_length_c 9.296
_cell_angle_alpha 73.46
_cell_angle_beta 73.46
_cell_angle_gamma 60.00
_space_group_name_H-M_alt 'P 1'
_space_group_IT_number 1
loop_
_space_group_symop_operation_xyz
'x,y,z'
loop_
_atom_site_label
_atom_site_fract_x
_atom_site_fract_y
_atom_site_fract_z
Rh1 0.583 0.583 0.751
Rh2 0.083 0.583 0.751
Rh3 0.417 0.917 0.249
Rh4 0.583 0.083 0.751
Rh5 0.333 0.333 0.001
Rh6 0.500 0.500 0.500
Rh7 0.667 0.667 0.999
Rh8 0.417 0.417 0.249
Rh9 0.917 0.417 0.249
Tb1 0.861 0.861 0.418
Tb2 0.139 0.139 0.582
Nd1 0.000 0.000 0.000
# Energy in eV per cell: -86.849
# Space-group type: R-3m

***

Entry 2:
# CaSm6Dy, relaxed, DFT PBE
data_CaSm6Dy
_cell_length_a 5.145
_cell_length_b 5.145
_cell_length_c 10.303
_cell_angle_alpha 90.00
_cell_angle_beta 90.00
_cell_angle_gamma 90.00
_space_group_name_H-M_alt 'P 1'
_space_group_IT_number 1
loop_
_space_group_symop_operation_xyz
'x,y,z'
loop_
_atom_site_label
_atom_site_fract_x
_atom_site_fract_y
_atom_site_fract_z
Sm1 0.000 0.500 0.743
Sm2 0.500 0.500 0.000
Sm3 0.500 0.000 0.743
Sm4 0.500 0.000 0.257
Sm5 0.500 0.500 0.500
Sm6 0.000 0.500 0.257
Dy1 0.000 0.000 0.500
Ca1 0.000 0.000 0.000
# Polymorph energy (0 for the lowest one) in meV per atom: 3
# Space-group type: P4/mmm

***

Entry 3:
# AlHgOs2, relaxed, DFT PBE
data_AlHgOs2
_cell_length_a 3.834
_cell_length_b 4.040
_cell_length_c 4.040
_cell_angle_alpha 90.00
_cell_angle_beta 90.00
_cell_angle_gamma 90.00
_space_group_name_H-M_alt 'P 1'
_space_group_IT_number 1
loop_
_space_group_symop_operation_xyz
'x,y,z'
loop_
_atom_site_label
_atom_site_fract_x
_atom_site_fract_y
_atom_site_fract_z
Hg1 0.500 0.000 0.500
Os1 0.000 0.500 0.500
Os2 0.000 0.000 0.000
Al1 0.500 0.500 0.000
# Polymorph energy (0 for the lowest one) in meV per atom: 397
# Space-group type: P4/mmm

***

Entry 4:
# TmGe2Os2, relaxed, DFT PBE
data_TmGe2Os2
_cell_length_a 5.424
_cell_length_b 5.782
_cell_length_c 7.342
_cell_angle_alpha 80.04
_cell_angle_beta 68.34
_cell_angle_gamma 62.07
_space_group_name_H-M_alt 'P 1'
_space_group_IT_number 1
loop_
_space_group_symop_operation_xyz
'x,y,z'
loop_
_atom_site_label
_atom_site_fract_x
_atom_site_fract_y
_atom_site_fract_z
Tm1 0.875 0.750 0.250
Tm2 0.125 0.250 0.750
Ge1 0.816 0.867 0.750
Ge2 0.433 0.633 0.750
Ge3 0.567 0.367 0.250
Ge4 0.184 0.133 0.250
Os1 0.515 0.250 0.969
Os2 0.735 0.250 0.531
Os3 0.265 0.750 0.469
Os4 0.485 0.750 0.031
# Energy in eV per cell: -75.241
# Space-group type: Fddd

***

Entry 5:
# Cs2CeTa6Br15O3, relaxed, DFT PBE
data_Cs2CeTa6Br15O3
_cell_length_a 9.633
_cell_length_b 9.633
_cell_length_c 18.840
_cell_angle_alpha 90.00
_cell_angle_beta 90.00
_cell_angle_gamma 120.00
_space_group_name_H-M_alt 'P 1'
_space_group_IT_number 1
loop_
_space_group_symop_operation_xyz
'x,y,z'
loop_
_atom_site_label
_atom_site_fract_x
_atom_site_fract_y
_atom_site_fract_z
O1 0.639 0.819 0.750
O2 0.819 0.639 0.250
O3 0.361 0.181 0.250
O4 0.181 0.361 0.750
O5 0.819 0.181 0.250
O6 0.181 0.819 0.750
Ta1 0.983 0.811 0.311
Ta2 0.189 0.017 0.189
Ta3 0.811 0.828 0.689
Ta4 0.189 0.172 0.311
Ta5 0.172 0.189 0.811
Ta6 0.828 0.811 0.189
Ta7 0.811 0.983 0.811
Ta8 0.172 0.983 0.689
Ta9 0.983 0.172 0.189
Ta10 0.828 0.017 0.311
Ta11 0.017 0.828 0.811
Ta12 0.017 0.189 0.689
Br1 0.529 0.604 0.622
Br2 0.574 0.787 0.250
Br3 0.529 0.925 0.878
Br4 0.213 0.426 0.250
Br5 0.221 0.019 0.909
Br6 0.787 0.574 0.750
Br7 0.075 0.604 0.878
Br8 0.203 0.221 0.091
Br9 0.019 0.797 0.091
Br10 0.213 0.787 0.250
Br11 0.396 0.925 0.622
Br12 0.396 0.471 0.878
Br13 0.203 0.981 0.409
Br14 0.787 0.213 0.750
Br15 0.797 0.019 0.591
Br16 0.981 0.779 0.591
Br17 0.925 0.529 0.378
Br18 0.221 0.203 0.591
Br19 0.471 0.075 0.122
Br20 0.075 0.471 0.622
Br21 0.981 0.203 0.909
Br22 0.779 0.797 0.409
Br23 0.604 0.529 0.122
Br24 0.019 0.221 0.409
Br25 0.604 0.075 0.378
Br26 0.779 0.981 0.091
Br27 0.797 0.779 0.909
Br28 0.471 0.396 0.378
Br29 0.426 0.213 0.750
Br30 0.925 0.396 0.122
Cs1 0.667 0.333 0.539
Cs2 0.333 0.667 0.039
Cs3 0.333 0.667 0.461
Cs4 0.667 0.333 0.961
Ce1 0.333 0.667 0.750
Ce2 0.667 0.333 0.250
# Energy in eV per cell: -316.156
# Space-group type: P-31c

***

Entry 6:
# Er3Al2Ga2, relaxed, DFT PBE
data_Er3Al2Ga2
_cell_length_a 4.288
_cell_length_b 3.781
_cell_length_c 9.978
_cell_angle_alpha 100.92
_cell_angle_beta 102.41
_cell_angle_gamma 90.00
_space_group_name_H-M_alt 'P 1'
_space_group_IT_number 1
loop_
_space_group_symop_operation_xyz
'x,y,z'
loop_
_atom_site_label
_atom_site_fract_x
_atom_site_fract_y
_atom_site_fract_z
Er1 0.307 0.807 0.614
Er2 0.693 0.193 0.386
Er3 0.000 0.000 0.000
Ga1 0.144 0.644 0.288
Ga2 0.856 0.356 0.712
Al1 0.433 0.433 0.866
Al2 0.567 0.567 0.134
# Energy in eV per cell: -30.884
# Space-group type: Immm

***

Entry 7:
# As5Pb3S12, relaxed, DFT PBE
data_As5Pb3S12
_cell_length_a 13.678
_cell_length_b 13.678
_cell_length_c 13.678
_cell_angle_alpha 109.47
_cell_angle_beta 109.47
_cell_angle_gamma 109.47
_space_group_name_H-M_alt 'P 1'
_space_group_IT_number 1
loop_
_space_group_symop_operation_xyz
'x,y,z'
loop_
_atom_site_label
_atom_site_fract_x
_atom_site_fract_y
_atom_site_fract_z
As1 0.000 0.000 0.500
As2 0.875 0.625 0.750
As3 0.875 0.250 0.625
As4 0.500 0.000 0.500
As5 0.500 0.500 0.500
As6 0.750 0.625 0.375
As7 0.750 0.125 0.875
As8 0.500 0.500 0.000
As9 0.625 0.750 0.875
As10 0.125 0.375 0.250
As11 0.500 0.000 0.000
As12 0.375 0.250 0.125
As13 0.250 0.875 0.125
As14 0.000 0.000 0.000
As15 0.250 0.375 0.625
As16 0.000 0.500 0.000
As17 0.375 0.125 0.750
As18 0.125 0.750 0.375
As19 0.000 0.500 0.500
As20 0.625 0.875 0.250
S1 0.586 0.882 0.405
S2 0.382 0.405 0.086
S3 0.477 0.796 0.882
S4 0.905 0.819 0.523
S5 0.595 0.977 0.681
S6 0.523 0.319 0.905
S7 0.405 0.023 0.319
S8 0.095 0.181 0.477
S9 0.204 0.523 0.618
S10 0.618 0.023 0.204
S11 0.204 0.681 0.086
S12 0.882 0.296 0.477
S13 0.296 0.882 0.977
S14 0.704 0.586 0.181
S15 0.118 0.414 0.095
S16 0.523 0.204 0.118
S17 0.796 0.477 0.382
S18 0.095 0.914 0.118
S19 0.023 0.405 0.819
S20 0.796 0.319 0.914
S21 0.414 0.118 0.595
S22 0.086 0.181 0.204
S23 0.977 0.595 0.181
S24 0.118 0.704 0.523
S25 0.977 0.382 0.296
S26 0.319 0.523 0.405
S27 0.819 0.905 0.023
S28 0.319 0.796 0.414
S29 0.086 0.905 0.382
S30 0.181 0.095 0.977
S31 0.819 0.914 0.296
S32 0.023 0.618 0.704
S33 0.181 0.086 0.704
S34 0.382 0.977 0.796
S35 0.405 0.382 0.586
S36 0.914 0.095 0.618
S37 0.882 0.586 0.905
S38 0.477 0.681 0.095
S39 0.914 0.819 0.796
S40 0.681 0.477 0.595
S41 0.296 0.414 0.819
S42 0.681 0.204 0.586
S43 0.905 0.086 0.882
S44 0.704 0.118 0.023
S45 0.586 0.704 0.681
S46 0.414 0.296 0.319
S47 0.618 0.595 0.914
S48 0.595 0.618 0.414
Pb1 0.750 0.375 0.125
Pb2 0.375 0.625 0.250
Pb3 0.875 0.750 0.125
Pb4 0.625 0.375 0.750
Pb5 0.125 0.875 0.750
Pb6 0.750 0.875 0.625
Pb7 0.375 0.750 0.625
Pb8 0.625 0.250 0.375
Pb9 0.125 0.250 0.875
Pb10 0.250 0.625 0.875
Pb11 0.875 0.125 0.250
Pb12 0.250 0.125 0.375
# Energy in eV per cell: -343.506
# Space-group type: Ia-3d

***

Entry 8:
# Fe, relaxed, DFT PBE
data_Fe
_cell_length_a 2.462
_cell_length_b 2.462
_cell_length_c 6.121
_cell_angle_alpha 78.34
_cell_angle_beta 78.34
_cell_angle_gamma 59.99
_space_group_name_H-M_alt 'P 1'
_space_group_IT_number 1
loop_
_space_group_symop_operation_xyz
'x,y,z'
loop_
_atom_site_label
_atom_site_fract_x
_atom_site_fract_y
_atom_site_fract_z
Fe1 0.000 0.000 0.000
Fe2 0.220 0.220 0.338
Fe3 0.780 0.780 0.662
# Polymorph energy (0 for the lowest one) in meV per atom: 113
# Space-group type: R-3m

***

Entry 9:
# V3PtS, relaxed, DFT PBE
data_V3PtS
_cell_length_a 4.758
_cell_length_b 4.758
_cell_length_c 4.758
_cell_angle_alpha 90.00
_cell_angle_beta 90.00
_cell_angle_gamma 90.00
_space_group_name_H-M_alt 'P 1'
_space_group_IT_number 1
loop_
_space_group_symop_operation_xyz
'x,y,z'
loop_
_atom_site_label
_atom_site_fract_x
_atom_site_fract_y
_atom_site_fract_z
Pt1 0.000 0.000 0.000
V1 0.000 0.500 0.000
V2 0.000 0.000 0.500
V3 0.500 0.000 0.000
S1 0.500 0.500 0.500
# Polymorph energy (0 for the lowest one) in meV per atom: 1056
# Space-group type: Pm-3m

***

Entry 10:
# TbGa4Pd4, relaxed, DFT PBE
data_TbGa4Pd4
_cell_length_a 6.085
_cell_length_b 6.085
_cell_length_c 8.636
_cell_angle_alpha 90.00
_cell_angle_beta 90.00
_cell_angle_gamma 90.00
_space_group_name_H-M_alt 'P 1'
_space_group_IT_number 1
loop_
_space_group_symop_operation_xyz
'x,y,z'
loop_
_atom_site_label
_atom_site_fract_x
_atom_site_fract_y
_atom_site_fract_z
Pd1 0.729 0.000 0.607
Pd2 0.229 0.500 0.893
Pd3 0.500 0.229 0.107
Pd4 0.000 0.271 0.393
Pd5 0.500 0.771 0.107
Pd6 0.771 0.500 0.893
Pd7 0.271 0.000 0.607
Pd8 0.000 0.729 0.393
Ga1 0.000 0.289 0.688
Ga2 0.500 0.789 0.812
Ga3 0.211 0.500 0.188
Ga4 0.789 0.500 0.188
Ga5 0.500 0.211 0.812
Ga6 0.000 0.711 0.688
Ga7 0.289 0.000 0.312
Ga8 0.711 0.000 0.312
Tb1 0.500 0.500 0.500
Tb2 0.000 0.000 0.000
# Energy in eV per cell: -86.390
# Space-group type: P4_2/nmc

***

Entry 11:
# Zr7ScIn3, relaxed, DFT PBE
data_Zr7ScIn3
_cell_length_a 5.062
_cell_length_b 7.635
_cell_length_c 7.635
_cell_angle_alpha 85.57
_cell_angle_beta 109.45
_cell_angle_gamma 109.45
_space_group_name_H-M_alt 'P 1'
_space_group_IT_number 1
loop_
_space_group_symop_operation_xyz
'x,y,z'
loop_
_atom_site_label
_atom_site_fract_x
_atom_site_fract_y
_atom_site_fract_z
Zr1 0.291 0.991 0.590
Zr2 0.291 0.590 0.991
Zr3 0.000 0.500 0.500
Zr4 0.808 0.808 0.808
Zr5 0.709 0.410 0.009
Zr6 0.709 0.009 0.410
Zr7 0.192 0.192 0.192
In1 0.500 0.000 0.000
In2 0.000 0.221 0.779
In3 0.000 0.779 0.221
Sc1 0.500 0.500 0.500
# Energy in eV per cell: -73.373
# Space-group type: C2/m

***

Entry 12:
# AcPb3, relaxed, DFT PBE
data_AcPb3
_cell_length_a 5.060
_cell_length_b 5.062
_cell_length_c 5.063
_cell_angle_alpha 90.00
_cell_angle_beta 90.00
_cell_angle_gamma 90.00
_space_group_name_H-M_alt 'P 1'
_space_group_IT_number 1
loop_
_space_group_symop_operation_xyz
'x,y,z'
loop_
_atom_site_label
_atom_site_fract_x
_atom_site_fract_y
_atom_site_fract_z
Pb1 0.000 0.000 0.917
Pb2 0.500 0.000 0.417
Pb3 0.500 0.500 0.917
Ac1 0.000 0.500 0.417
# Energy in eV per cell: -16.869
# Space-group type: Pm-3m

***

Entry 13:
# NaSBr6, relaxed, DFT PBE
data_NaSBr6
_cell_length_a 6.939
_cell_length_b 6.959
_cell_length_c 7.206
_cell_angle_alpha 61.20
_cell_angle_beta 61.51
_cell_angle_gamma 60.16
_space_group_name_H-M_alt 'P 1'
_space_group_IT_number 1
loop_
_space_group_symop_operation_xyz
'x,y,z'
loop_
_atom_site_label
_atom_site_fract_x
_atom_site_fract_y
_atom_site_fract_z
Br1 0.034 0.394 0.761
Br2 0.966 0.606 0.239
Br3 0.197 0.966 0.234
Br4 0.803 0.034 0.766
Br5 0.608 0.191 0.238
Br6 0.392 0.809 0.762
S1 0.000 0.000 0.000
Na1 0.500 0.500 0.500
# Energy in eV per cell: -16.922
# Space-group type: P-1

***

Entry 14:
# TaMnAu2, relaxed, DFT PBE
data_TaMnAu2
_cell_length_a 2.946
_cell_length_b 2.946
_cell_length_c 7.867
_cell_angle_alpha 90.00
_cell_angle_beta 90.00
_cell_angle_gamma 90.00
_space_group_name_H-M_alt 'P 1'
_space_group_IT_number 1
loop_
_space_group_symop_operation_xyz
'x,y,z'
loop_
_atom_site_label
_atom_site_fract_x
_atom_site_fract_y
_atom_site_fract_z
Mn1 0.500 0.500 0.250
Au1 0.000 0.000 0.008
Au2 0.000 0.000 0.492
Ta1 0.500 0.500 0.750
# Energy in eV per cell: -27.559
# Space-group type: P4/mmm

***

Entry 15:
# CeZnCd, relaxed, DFT PBE
data_CeZnCd
_cell_length_a 3.239
_cell_length_b 4.926
_cell_length_c 4.926
_cell_angle_alpha 120.00
_cell_angle_beta 90.00
_cell_angle_gamma 90.00
_space_group_name_H-M_alt 'P 1'
_space_group_IT_number 1
loop_
_space_group_symop_operation_xyz
'x,y,z'
loop_
_atom_site_label
_atom_site_fract_x
_atom_site_fract_y
_atom_site_fract_z
Zn1 0.167 0.333 0.667
Cd1 0.166 0.000 0.000
Ce1 0.667 0.667 0.333
# Energy in eV per cell: -8.846
# Space-group type: P-6m2

***

Entry 16:
# TbPr4Dy7, relaxed, DFT PBE
data_TbPr4Dy7
_cell_length_a 6.884
_cell_length_b 6.594
_cell_length_c 11.922
_cell_angle_alpha 75.50
_cell_angle_beta 49.83
_cell_angle_gamma 81.89
_space_group_name_H-M_alt 'P 1'
_space_group_IT_number 1
loop_
_space_group_symop_operation_xyz
'x,y,z'
loop_
_atom_site_label
_atom_site_fract_x
_atom_site_fract_y
_atom_site_fract_z
Pr1 0.308 0.164 0.307
Pr2 0.473 0.360 0.717
Pr3 0.692 0.836 0.693
Pr4 0.527 0.640 0.283
Dy1 0.500 0.000 0.000
Dy2 0.056 0.319 0.641
Dy3 0.197 0.489 0.050
Dy4 0.944 0.681 0.359
Dy5 0.277 0.813 0.617
Dy6 0.723 0.187 0.383
Dy7 0.803 0.511 0.950
Tb1 0.000 0.000 0.000
# Polymorph energy (0 for the lowest one) in meV per atom: 0
# Space-group type: P-1

***

Entry 17:
# MnZn2FeOs, relaxed, DFT PBE
data_MnZn2FeOs
_cell_length_a 4.453
_cell_length_b 4.401
_cell_length_c 4.453
_cell_angle_alpha 90.00
_cell_angle_beta 90.00
_cell_angle_gamma 90.00
_space_group_name_H-M_alt 'P 1'
_space_group_IT_number 1
loop_
_space_group_symop_operation_xyz
'x,y,z'
loop_
_atom_site_label
_atom_site_fract_x
_atom_site_fract_y
_atom_site_fract_z
Os1 0.000 0.500 0.000
Fe1 0.000 0.000 0.000
Zn1 0.500 0.000 0.000
Zn2 0.000 0.000 0.500
Mn1 0.500 0.500 0.500
# Energy in eV per cell: -26.505
# Space-group type: P4/mmm

***

Entry 18:
# CePtRh, relaxed, DFT PBE
data_CePtRh
_cell_length_a 4.392
_cell_length_b 4.392
_cell_length_c 15.316
_cell_angle_alpha 90.00
_cell_angle_beta 90.00
_cell_angle_gamma 120.00
_space_group_name_H-M_alt 'P 1'
_space_group_IT_number 1
loop_
_space_group_symop_operation_xyz
'x,y,z'
loop_
_atom_site_label
_atom_site_fract_x
_atom_site_fract_y
_atom_site_fract_z
Rh1 0.333 0.667 0.375
Rh2 0.333 0.667 0.125
Rh3 0.667 0.333 0.625
Rh4 0.667 0.333 0.875
Pt1 0.667 0.333 0.375
Pt2 0.667 0.333 0.125
Pt3 0.333 0.667 0.625
Pt4 0.333 0.667 0.875
Ce1 0.000 0.000 0.750
Ce2 0.000 0.000 0.500
Ce3 0.000 0.000 0.000
Ce4 0.000 0.000 0.250
# Polymorph energy (0 for the lowest one) in meV per atom: 165
# Space-group type: P6_3/mmc

***

Entry 19:
# PrPuSe3, relaxed, DFT PBE
data_PrPuSe3
_cell_length_a 4.192
_cell_length_b 6.951
_cell_length_c 9.224
_cell_angle_alpha 90.00
_cell_angle_beta 90.00
_cell_angle_gamma 90.00
_space_group_name_H-M_alt 'P 1'
_space_group_IT_number 1
loop_
_space_group_symop_operation_xyz
'x,y,z'
loop_
_atom_site_label
_atom_site_fract_x
_atom_site_fract_y
_atom_site_fract_z
Se1 0.000 0.000 0.928
Se2 0.000 0.769 0.331
Se3 0.000 0.231 0.331
Se4 0.500 0.731 0.669
Se5 0.500 0.269 0.669
Se6 0.500 0.500 0.072
Pr1 0.500 0.000 0.150
Pr2 0.000 0.500 0.850
Pu1 0.500 0.500 0.400
Pu2 0.000 0.000 0.600
# Polymorph energy (0 for the lowest one) in meV per atom: 44
# Space-group type: Pmmn